Material: GdSc2Ag4Ge4
Method: DFT, PBE-GGA
State: relaxed

Results
The calculation puts the total energy at -4.7418 eV per atom.

Unit cell a=4.1735 b=7.2263 c=14.1775 alpha=90.00 beta=90.00 gamma=90.00
With the nearest neighbours (Å) after each atom.
Space group Immm (No. 71)
Symmetry-distinct sites (fractional):
Gd (0.0000, 0.0000, 0.0000) x2  6 Ge 3.13-3.15, 8 Ag 3.50
Sc (0.0000, 0.5000, 0.1224) x4  6 Ge 3.00-3.03, 6 Ag 3.09-3.28
Ag (0.0000, 0.3011, 0.3301) x8  4 Ge 2.57-2.66, 1 Ag 2.87
Ge (0.0000, 0.0000, 0.2225) x4  6 Ag 2.64-2.66
Ge (0.0000, 0.1772, 0.5000) x4  1 Ge 2.56, 2 Ag 2.57